1.
# YCdFeB (PBE, optimized geometry)
data_YCdFeB
_cell_length_a 4.571
_cell_length_b 4.571
_cell_length_c 4.571
_cell_angle_alpha 60.00
_cell_angle_beta 60.00
_cell_angle_gamma 60.00
_symmetry_space_group_name_H-M 'P 1'
_symmetry_Int_Tables_number 1
loop_
_symmetry_equiv_pos_as_xyz
'x,y,z'
loop_
_atom_site_label
_atom_site_type_symbol
_atom_site_fract_x
_atom_site_fract_y
_atom_site_fract_z
Y1 Y 0.000 0.000 0.000
Cd1 Cd 0.750 0.750 0.750
Fe1 Fe 0.500 0.500 0.500
B1 B 0.250 0.250 0.250
# symmetry: F-43m, No. 216
# energy above the most stable polymorph in this dataset: 0.0000 eV per atom

***

2.
# YCdFeB (PBE, optimized geometry)
data_YCdFeB
_cell_length_a 4.567
_cell_length_b 4.567
_cell_length_c 4.567
_cell_angle_alpha 60.00
_cell_angle_beta 60.00
_cell_angle_gamma 60.00
_symmetry_space_group_name_H-M 'P 1'
_symmetry_Int_Tables_number 1
loop_
_symmetry_equiv_pos_as_xyz
'x,y,z'
loop_
_atom_site_label
_atom_site_type_symbol
_atom_site_fract_x
_atom_site_fract_y
_atom_site_fract_z
Y1 Y 0.000 0.000 0.000
Cd1 Cd 0.250 0.250 0.250
Fe1 Fe 0.750 0.750 0.750
B1 B 0.500 0.500 0.500
# symmetry: F-43m, No. 216
# energy above the most stable polymorph in this dataset: 0.3049 eV per atom

***

3.
# ZnCdFeB (PBE, optimized geometry)
data_ZnCdFeB
_cell_length_a 4.203
_cell_length_b 4.203
_cell_length_c 4.203
_cell_angle_alpha 60.00
_cell_angle_beta 60.00
_cell_angle_gamma 60.00
_symmetry_space_group_name_H-M 'P 1'
_symmetry_Int_Tables_number 1
loop_
_symmetry_equiv_pos_as_xyz
'x,y,z'
loop_
_atom_site_label
_atom_site_type_symbol
_atom_site_fract_x
_atom_site_fract_y
_atom_site_fract_z
Zn1 Zn 0.000 0.000 0.000
Cd1 Cd 0.250 0.250 0.250
Fe1 Fe 0.750 0.750 0.750
B1 B 0.500 0.500 0.500
# symmetry: F-43m, No. 216
# energy above the most stable polymorph in this dataset: 0.0000 eV per atom

***

4.
# ZnCdFeB (PBE, optimized geometry)
data_ZnCdFeB
_cell_length_a 4.237
_cell_length_b 4.237
_cell_length_c 4.237
_cell_angle_alpha 60.00
_cell_angle_beta 60.00
_cell_angle_gamma 60.00
_symmetry_space_group_name_H-M 'P 1'
_symmetry_Int_Tables_number 1
loop_
_symmetry_equiv_pos_as_xyz
'x,y,z'
loop_
_atom_site_label
_atom_site_type_symbol
_atom_site_fract_x
_atom_site_fract_y
_atom_site_fract_z
Zn1 Zn 0.000 0.000 0.000
Cd1 Cd 0.750 0.750 0.750
Fe1 Fe 0.500 0.500 0.500
B1 B 0.250 0.250 0.250
# symmetry: F-43m, No. 216
# energy above the most stable polymorph in this dataset: 0.0861 eV per atom

***

5.
# ZrCdFeB (PBE, optimized geometry)
data_ZrCdFeB
_cell_length_a 4.399
_cell_length_b 4.399
_cell_length_c 4.399
_cell_angle_alpha 60.00
_cell_angle_beta 60.00
_cell_angle_gamma 60.00
_symmetry_space_group_name_H-M 'P 1'
_symmetry_Int_Tables_number 1
loop_
_symmetry_equiv_pos_as_xyz
'x,y,z'
loop_
_atom_site_label
_atom_site_type_symbol
_atom_site_fract_x
_atom_site_fract_y
_atom_site_fract_z
Zr1 Zr 0.000 0.000 0.000
Cd1 Cd 0.250 0.250 0.250
Fe1 Fe 0.750 0.750 0.750
B1 B 0.500 0.500 0.500
# symmetry: F-43m, No. 216
# energy above the most stable polymorph in this dataset: 0.2054 eV per atom

***

6.
# ZrCdFeB (PBE, optimized geometry)
data_ZrCdFeB
_cell_length_a 4.414
_cell_length_b 4.414
_cell_length_c 4.414
_cell_angle_alpha 60.00
_cell_angle_beta 60.00
_cell_angle_gamma 60.00
_symmetry_space_group_name_H-M 'P 1'
_symmetry_Int_Tables_number 1
loop_
_symmetry_equiv_pos_as_xyz
'x,y,z'
loop_
_atom_site_label
_atom_site_type_symbol
_atom_site_fract_x
_atom_site_fract_y
_atom_site_fract_z
Zr1 Zr 0.000 0.000 0.000
Cd1 Cd 0.750 0.750 0.750
Fe1 Fe 0.500 0.500 0.500
B1 B 0.250 0.250 0.250
# symmetry: F-43m, No. 216
# energy above the most stable polymorph in this dataset: 0.0000 eV per atom

***

7.
# CdGaB4 (PBE, optimized geometry)
data_CdGaB4
_cell_length_a 4.862
_cell_length_b 4.862
_cell_length_c 4.862
_cell_angle_alpha 142.63
_cell_angle_beta 112.43
_cell_angle_gamma 79.85
_symmetry_space_group_name_H-M 'P 1'
_symmetry_Int_Tables_number 1
loop_
_symmetry_equiv_pos_as_xyz
'x,y,z'
loop_
_atom_site_label
_atom_site_type_symbol
_atom_site_fract_x
_atom_site_fract_y
_atom_site_fract_z
Cd1 Cd 0.000 0.000 0.000
Ga1 Ga 0.500 0.500 0.000
B1 B 0.087 0.753 0.334
B2 B 0.419 0.753 0.666
B3 B 0.581 0.247 0.334
B4 B 0.913 0.247 0.666
# symmetry: Immm, No. 71
# energy above the most stable polymorph in this dataset: 0.0447 eV per atom

***

8.
# CdGaB2 (PBE, optimized geometry)
data_CdGaB2
_cell_length_a 4.341
_cell_length_b 4.341
_cell_length_c 4.341
_cell_angle_alpha 60.00
_cell_angle_beta 60.00
_cell_angle_gamma 60.00
_symmetry_space_group_name_H-M 'P 1'
_symmetry_Int_Tables_number 1
loop_
_symmetry_equiv_pos_as_xyz
'x,y,z'
loop_
_atom_site_label
_atom_site_type_symbol
_atom_site_fract_x
_atom_site_fract_y
_atom_site_fract_z
Cd1 Cd 0.000 0.000 0.000
Ga1 Ga 0.750 0.750 0.750
B1 B 0.250 0.250 0.250
B2 B 0.500 0.500 0.500
# symmetry: F-43m, No. 216
# energy: -2.72 eV/atom

***

9.
# CdGaB4 (PBE, optimized geometry)
data_CdGaB4
_cell_length_a 3.104
_cell_length_b 3.104
_cell_length_c 7.386
_cell_angle_alpha 90.00
_cell_angle_beta 90.00
_cell_angle_gamma 120.00
_symmetry_space_group_name_H-M 'P 1'
_symmetry_Int_Tables_number 1
loop_
_symmetry_equiv_pos_as_xyz
'x,y,z'
loop_
_atom_site_label
_atom_site_type_symbol
_atom_site_fract_x
_atom_site_fract_y
_atom_site_fract_z
Cd1 Cd 0.000 0.000 0.000
Ga1 Ga 0.000 0.000 0.500
B1 B 0.333 0.667 0.276
B2 B 0.333 0.667 0.724
B3 B 0.667 0.333 0.276
B4 B 0.667 0.333 0.724
# symmetry: P6/mmm, No. 191
# energy above the most stable polymorph in this dataset: 0.0000 eV per atom

***

10.
# CdGa2B (PBE, optimized geometry)
data_CdGa2B
_cell_length_a 4.605
_cell_length_b 4.605
_cell_length_c 4.605
_cell_angle_alpha 60.00
_cell_angle_beta 60.00
_cell_angle_gamma 60.00
_symmetry_space_group_name_H-M 'P 1'
_symmetry_Int_Tables_number 1
loop_
_symmetry_equiv_pos_as_xyz
'x,y,z'
loop_
_atom_site_label
_atom_site_type_symbol
_atom_site_fract_x
_atom_site_fract_y
_atom_site_fract_z
Cd1 Cd 0.000 0.000 0.000
Ga1 Ga 0.250 0.250 0.250
Ga2 Ga 0.500 0.500 0.500
B1 B 0.750 0.750 0.750
# symmetry: F-43m, No. 216
# energy: -2.58 eV/atom

***

11.
# Hf4CdGaB2 (PBE, optimized geometry)
data_Hf4CdGaB2
_cell_length_a 3.377
_cell_length_b 3.377
_cell_length_c 14.886
_cell_angle_alpha 90.00
_cell_angle_beta 90.00
_cell_angle_gamma 120.00
_symmetry_space_group_name_H-M 'P 1'
_symmetry_Int_Tables_number 1
loop_
_symmetry_equiv_pos_as_xyz
'x,y,z'
loop_
_atom_site_label
_atom_site_type_symbol
_atom_site_fract_x
_atom_site_fract_y
_atom_site_fract_z
Hf1 Hf 0.000 0.000 0.153
Hf2 Hf 0.000 0.000 0.847
Hf3 Hf 0.333 0.667 0.328
Hf4 Hf 0.333 0.667 0.672
Cd1 Cd 0.000 0.000 0.500
Ga1 Ga 0.333 0.667 0.000
B1 B 0.667 0.333 0.241
B2 B 0.667 0.333 0.759
# symmetry: P-6m2, No. 187
# energy: -7.51 eV/atom

***

12.
# GdCdB (PBE, optimized geometry)
data_GdCdB
_cell_length_a 4.490
_cell_length_b 4.490
_cell_length_c 4.490
_cell_angle_alpha 60.00
_cell_angle_beta 60.00
_cell_angle_gamma 60.00
_symmetry_space_group_name_H-M 'P 1'
_symmetry_Int_Tables_number 1
loop_
_symmetry_equiv_pos_as_xyz
'x,y,z'
loop_
_atom_site_label
_atom_site_type_symbol
_atom_site_fract_x
_atom_site_fract_y
_atom_site_fract_z
Gd1 Gd 0.000 0.000 0.000
Cd1 Cd 0.750 0.750 0.750
B1 B 0.500 0.500 0.500
# symmetry: F-43m, No. 216
# energy above the most stable polymorph in this dataset: 0.7393 eV per atom

***

13.
# GdCdB (PBE, optimized geometry)
data_GdCdB
_cell_length_a 4.361
_cell_length_b 4.361
_cell_length_c 4.361
_cell_angle_alpha 60.00
_cell_angle_beta 60.00
_cell_angle_gamma 60.00
_symmetry_space_group_name_H-M 'P 1'
_symmetry_Int_Tables_number 1
loop_
_symmetry_equiv_pos_as_xyz
'x,y,z'
loop_
_atom_site_label
_atom_site_type_symbol
_atom_site_fract_x
_atom_site_fract_y
_atom_site_fract_z
Gd1 Gd 0.000 0.000 0.000
Cd1 Cd 0.500 0.500 0.500
B1 B 0.750 0.750 0.750
# symmetry: F-43m, No. 216
# energy above the most stable polymorph in this dataset: 0.0000 eV per atom

***

14.
# GdCdB4 (PBE, optimized geometry)
data_GdCdB4
_cell_length_a 3.221
_cell_length_b 3.221
_cell_length_c 7.782
_cell_angle_alpha 90.00
_cell_angle_beta 90.00
_cell_angle_gamma 120.00
_symmetry_space_group_name_H-M 'P 1'
_symmetry_Int_Tables_number 1
loop_
_symmetry_equiv_pos_as_xyz
'x,y,z'
loop_
_atom_site_label
_atom_site_type_symbol
_atom_site_fract_x
_atom_site_fract_y
_atom_site_fract_z
Gd1 Gd 0.000 0.000 0.000
Cd1 Cd 0.000 0.000 0.500
B1 B 0.333 0.667 0.251
B2 B 0.333 0.667 0.749
B3 B 0.667 0.333 0.251
B4 B 0.667 0.333 0.749
# symmetry: P6/mmm, No. 191
# energy above the most stable polymorph in this dataset: 0.1126 eV per atom

***

15.
# GdCdB4 (PBE, optimized geometry)
data_GdCdB4
_cell_length_a 5.165
_cell_length_b 5.165
_cell_length_c 5.165
_cell_angle_alpha 143.95
_cell_angle_beta 116.61
_cell_angle_gamma 75.14
_symmetry_space_group_name_H-M 'P 1'
_symmetry_Int_Tables_number 1
loop_
_symmetry_equiv_pos_as_xyz
'x,y,z'
loop_
_atom_site_label
_atom_site_type_symbol
_atom_site_fract_x
_atom_site_fract_y
_atom_site_fract_z
Gd1 Gd 0.000 0.000 0.000
Cd1 Cd 0.500 0.500 0.000
B1 B 0.065 0.741 0.324
B2 B 0.417 0.741 0.676
B3 B 0.583 0.259 0.324
B4 B 0.935 0.259 0.676
# symmetry: Immm, No. 71
# energy above the most stable polymorph in this dataset: 0.0000 eV per atom

***

16.
# CdGe2B (PBE, optimized geometry)
data_CdGe2B
_cell_length_a 4.630
_cell_length_b 4.630
_cell_length_c 4.630
_cell_angle_alpha 60.00
_cell_angle_beta 60.00
_cell_angle_gamma 60.00
_symmetry_space_group_name_H-M 'P 1'
_symmetry_Int_Tables_number 1
loop_
_symmetry_equiv_pos_as_xyz
'x,y,z'
loop_
_atom_site_label
_atom_site_type_symbol
_atom_site_fract_x
_atom_site_fract_y
_atom_site_fract_z
Cd1 Cd 0.000 0.000 0.000
Ge1 Ge 0.250 0.250 0.250
Ge2 Ge 0.500 0.500 0.500
B1 B 0.750 0.750 0.750
# symmetry: F-43m, No. 216
# energy: -3.20 eV/atom

***

17.
# K2CdB4H16 (PBE, optimized geometry)
data_K2CdB4H16
_cell_length_a 7.710
_cell_length_b 9.591
_cell_length_c 13.510
_cell_angle_alpha 90.00
_cell_angle_beta 108.50
_cell_angle_gamma 90.00
_symmetry_space_group_name_H-M 'P 1'
_symmetry_Int_Tables_number 1
loop_
_symmetry_equiv_pos_as_xyz
'x,y,z'
loop_
_atom_site_label
_atom_site_type_symbol
_atom_site_fract_x
_atom_site_fract_y
_atom_site_fract_z
K1 K 0.061 0.097 0.337
K2 K 0.061 0.403 0.837
K3 K 0.249 0.618 0.512
K4 K 0.249 0.882 0.012
K5 K 0.751 0.118 0.988
K6 K 0.751 0.382 0.488
K7 K 0.939 0.597 0.163
K8 K 0.939 0.903 0.663
Cd1 Cd 0.401 0.154 0.681
Cd2 Cd 0.401 0.346 0.181
Cd3 Cd 0.599 0.654 0.819
Cd4 Cd 0.599 0.846 0.319
B1 B 0.156 0.169 0.089
B2 B 0.156 0.331 0.589
B3 B 0.261 0.693 0.780
B4 B 0.261 0.807 0.280
B5 B 0.294 0.551 0.058
B6 B 0.294 0.949 0.558
B7 B 0.330 0.109 0.852
B8 B 0.330 0.391 0.352
B9 B 0.670 0.609 0.648
B10 B 0.670 0.891 0.148
B11 B 0.706 0.051 0.442
B12 B 0.706 0.449 0.942
B13 B 0.739 0.193 0.720
B14 B 0.739 0.307 0.220
B15 B 0.844 0.669 0.411
B16 B 0.844 0.831 0.911
H1 H 0.101 0.156 0.994
H2 H 0.101 0.219 0.611
H3 H 0.101 0.281 0.111
H4 H 0.101 0.344 0.494
H5 H 0.103 0.077 0.135
H6 H 0.103 0.423 0.635
H7 H 0.139 0.585 0.008
H8 H 0.139 0.634 0.713
H9 H 0.139 0.866 0.213
H10 H 0.139 0.915 0.508
H11 H 0.186 0.046 0.833
H12 H 0.186 0.454 0.333
H13 H 0.208 0.714 0.324
H14 H 0.208 0.786 0.824
H15 H 0.291 0.543 0.150
H16 H 0.291 0.957 0.650
H17 H 0.302 0.222 0.805
H18 H 0.302 0.278 0.305
H19 H 0.326 0.153 0.115
H20 H 0.326 0.347 0.615
H21 H 0.330 0.060 0.522
H22 H 0.330 0.440 0.022
H23 H 0.340 0.606 0.847
H24 H 0.340 0.894 0.347
H25 H 0.357 0.749 0.233
H26 H 0.357 0.751 0.733
H27 H 0.394 0.140 0.944
H28 H 0.394 0.360 0.444
H29 H 0.413 0.634 0.060
H30 H 0.413 0.866 0.560
H31 H 0.444 0.035 0.829
H32 H 0.444 0.465 0.329
H33 H 0.556 0.535 0.671
H34 H 0.556 0.965 0.171
H35 H 0.587 0.134 0.440
H36 H 0.587 0.366 0.940
H37 H 0.606 0.640 0.556
H38 H 0.606 0.860 0.056
H39 H 0.643 0.249 0.267
H40 H 0.643 0.251 0.767
H41 H 0.660 0.106 0.653
H42 H 0.660 0.394 0.153
H43 H 0.670 0.560 0.978
H44 H 0.670 0.940 0.478
H45 H 0.674 0.653 0.385
H46 H 0.674 0.847 0.885
H47 H 0.698 0.722 0.695
H48 H 0.698 0.778 0.195
H49 H 0.709 0.043 0.350
H50 H 0.709 0.457 0.850
H51 H 0.792 0.214 0.176
H52 H 0.792 0.286 0.676
H53 H 0.814 0.546 0.667
H54 H 0.814 0.954 0.167
H55 H 0.861 0.085 0.492
H56 H 0.861 0.134 0.787
H57 H 0.861 0.366 0.287
H58 H 0.861 0.415 0.992
H59 H 0.897 0.577 0.365
H60 H 0.897 0.923 0.865
H61 H 0.899 0.656 0.506
H62 H 0.899 0.719 0.889
H63 H 0.899 0.781 0.389
H64 H 0.899 0.844 0.006
# symmetry: P2_1/c, No. 14
# energy: -3.86 eV/atom

***

18.
# Cd2BH3O5 (PBE, optimized geometry)
data_Cd2BH3O5
_cell_length_a 4.770
_cell_length_b 4.864
_cell_length_c 5.571
_cell_angle_alpha 76.49
_cell_angle_beta 78.06
_cell_angle_gamma 62.24
_symmetry_space_group_name_H-M 'P 1'
_symmetry_Int_Tables_number 1
loop_
_symmetry_equiv_pos_as_xyz
'x,y,z'
loop_
_atom_site_label
_atom_site_type_symbol
_atom_site_fract_x
_atom_site_fract_y
_atom_site_fract_z
Cd1 Cd 0.000 0.000 0.000
Cd2 Cd 0.387 0.399 0.572
B1 B 0.759 0.638 0.790
H1 H 0.045 0.045 0.476
H2 H 0.318 0.352 0.091
H3 H 0.395 0.032 0.279
O1 O 0.013 0.575 0.918
O2 O 0.182 0.894 0.363
O3 O 0.481 0.209 0.209
O4 O 0.490 0.912 0.786
O5 O 0.815 0.392 0.670
# symmetry: P1, No. 1
# energy: -5.28 eV/atom

***

19.
# Hf2CdB (PBE, optimized geometry)
data_Hf2CdB
_cell_length_a 3.377
_cell_length_b 3.377
_cell_length_c 15.426
_cell_angle_alpha 90.00
_cell_angle_beta 90.00
_cell_angle_gamma 120.00
_symmetry_space_group_name_H-M 'P 1'
_symmetry_Int_Tables_number 1
loop_
_symmetry_equiv_pos_as_xyz
'x,y,z'
loop_
_atom_site_label
_atom_site_type_symbol
_atom_site_fract_x
_atom_site_fract_y
_atom_site_fract_z
Hf1 Hf 0.333 0.667 0.084
Hf2 Hf 0.333 0.667 0.416
Hf3 Hf 0.667 0.333 0.584
Hf4 Hf 0.667 0.333 0.916
Cd1 Cd 0.333 0.667 0.750
Cd2 Cd 0.667 0.333 0.250
B1 B 0.000 0.000 0.000
B2 B 0.000 0.000 0.500
# symmetry: P6_3/mmc, No. 194
# energy above the most stable polymorph in this dataset: 0.0000 eV per atom

***

20.
# HfCd2B (PBE, optimized geometry)
data_HfCd2B
_cell_length_a 4.646
_cell_length_b 4.646
_cell_length_c 4.646
_cell_angle_alpha 60.00
_cell_angle_beta 60.00
_cell_angle_gamma 60.00
_symmetry_space_group_name_H-M 'P 1'
_symmetry_Int_Tables_number 1
loop_
_symmetry_equiv_pos_as_xyz
'x,y,z'
loop_
_atom_site_label
_atom_site_type_symbol
_atom_site_fract_x
_atom_site_fract_y
_atom_site_fract_z
Hf1 Hf 0.000 0.000 0.000
Cd1 Cd 0.250 0.250 0.250
Cd2 Cd 0.500 0.500 0.500
B1 B 0.750 0.750 0.750
# symmetry: F-43m, No. 216
# energy: -3.89 eV/atom